[1]
An optimized crystal structure of AcEuMgZn, computed with PBE.

The space group is F-43m (No. 216) and the conventional cell measures 7.917, 7.917 and 7.917 Å, with angles of 90.00, 90.00 and 90.00 degrees. Symmetry generates all atoms from Ac at (0.000, 0.000, 0.000), Eu at (0.000, 0.000, 0.500), Mg at (0.250, 0.250, 0.250) and Zn at (0.250, 0.250, 0.750).

The formation energy comes out at -0.1384 eV/atom. As for the magnetization: 28.6 μB per cell.



[2]
An optimized crystal structure of La2BiTe, computed with PBE.

The space group is Pnnm (No. 58) and the conventional cell measures 7.803, 8.050 and 4.518 Å, with angles of 90.00, 90.00 and 90.00 degrees. Symmetry generates all atoms from La at (0.166, 0.250, 0.000), Bi at (0.000, 0.000, 0.500) and Te at (0.000, 0.500, 0.500).

Its excess energy over the best structure of this formula in the dataset is 86 meV per atom. The uncorrected formation energy is -1265 meV per atom. As for the magnetization: 0.0 μB per cell.



[3]
An optimized crystal structure of Ca2TlSiW, computed with PBE.

The space group is P4/mmm (No. 123) and the conventional cell measures 5.579, 5.579 and 5.111 Å, with angles of 90.00, 90.00 and 90.00 degrees. Symmetry generates all atoms from Ca at (0.000, 0.500, 0.000), Tl at (0.000, 0.000, 0.500), Si at (0.000, 0.000, 0.000) and W at (0.500, 0.500, 0.500).

The uncorrected formation energy is 1111 meV per atom. As for the magnetization: 4.4 μB per cell.



[4]
An optimized crystal structure of VReBPt2, computed with PBE.

The space group is P4/mmm (No. 123) and the conventional cell measures 4.134, 4.134 and 4.145 Å, with angles of 90.00, 90.00 and 90.00 degrees. Symmetry generates all atoms from V at (0.000, 0.000, 0.000), Re at (0.500, 0.500, 0.000), B at (0.500, 0.500, 0.500) and Pt at (0.000, 0.500, 0.500).

The formation energy comes out at 0.0990 eV/atom. Its excess energy over the best structure of this formula in the dataset is 0 meV per atom. As for the magnetization: 0.1 μB per cell.



[5]
An optimized crystal structure of Y2Ho6Ga, computed with PBE.

The space group is Cmmm (No. 65) and the conventional cell measures 9.184, 17.076 and 3.517 Å, with angles of 90.00, 90.00 and 90.00 degrees. Symmetry generates all atoms from Y at (0.000, 0.178, 0.000), Ho at (0.172, 0.338, 0.500), Ho at (0.217, 0.000, 0.000) and Ga at (0.000, 0.500, 0.500).

The formation energy comes out at 0.0165 eV/atom. As for the magnetization: 0.0 μB per cell.



[6]
An optimized crystal structure of Ac6Sn3Te, computed with PBE.

The space group is Cmc2_1 (No. 36) and the conventional cell measures 12.814, 16.029 and 8.202 Å, with angles of 90.00, 90.00 and 90.00 degrees. Symmetry generates all atoms from Ac at (0.000, 0.000, 0.000), Ac at (0.000, 0.255, 0.121), Ac at (0.176, 0.274, 0.529), Ac at (0.178, 0.459, 0.105), Sn at (0.000, 0.418, 0.403), Sn at (0.173, 0.107, 0.272) and Te at (0.000, 0.167, 0.751).

The uncorrected formation energy is -615 meV per atom. As for the magnetization: 0.0 μB per cell.



[7]
An optimized crystal structure of AcPm5PrEr2, computed with PBE.

The space group is Cmc2_1 (No. 36) and the conventional cell measures 5.619, 24.118 and 9.551 Å, with angles of 90.00, 90.00 and 90.00 degrees. Symmetry generates all atoms from Ac at (0.000, 0.102, 0.000), Pm at (0.000, 0.025, 0.327), Pm at (0.000, 0.103, 0.608), Pm at (0.000, 0.188, 0.303), Pm at (0.000, 0.241, 0.931), Pm at (0.000, 0.493, 0.108), Pr at (0.000, 0.265, 0.609), Er at (0.000, 0.328, 0.244) and Er at (0.000, 0.388, 0.868).

The formation energy comes out at 0.1466 eV/atom. As for the magnetization: 0.0 μB per cell.



[8]
An optimized crystal structure of LiPmYPb, computed with PBE.

The space group is F-43m (No. 216) and the conventional cell measures 7.566, 7.566 and 7.566 Å, with angles of 90.00, 90.00 and 90.00 degrees. Symmetry generates all atoms from Li at (0.000, 0.000, 0.000), Pm at (0.250, 0.250, 0.250), Y at (0.250, 0.250, 0.750) and Pb at (0.000, 0.000, 0.500).

The formation energy comes out at -0.3153 eV/atom. As for the magnetization: 0.0 μB per cell.



[9]
An optimized crystal structure of ReTe2Br, computed with PBE.

The space group is Cmm2 (No. 35) and the conventional cell measures 3.169, 5.607 and 11.576 Å, with angles of 90.00, 90.00 and 90.00 degrees. Symmetry generates all atoms from Re at (0.000, 0.000, 0.000), Te at (0.000, 0.000, 0.501), Te at (0.000, 0.500, 0.811) and Br at (0.000, 0.500, 0.177).

Its excess energy over the best structure of this formula in the dataset is 666 meV per atom. The uncorrected formation energy is 626 meV per atom. As for the magnetization: 0.4 μB per cell.



[10]
An optimized crystal structure of Pr2ErTe, computed with PBE.

The space group is R3m (No. 160, hexagonal axes) and the conventional cell measures 4.0216, 4.0216 and 29.7549 Å, with angles of 90.00, 90.00 and 120.00 degrees. Symmetry generates all atoms from Pr at (0.0000, 0.0000, 0.0000), Pr at (0.0000, 0.0000, 0.1867), Er at (0.0000, 0.0000, 0.7604) and Te at (0.0000, 0.0000, 0.5932).

Its excess energy over the best structure of this formula in the dataset is 39 meV per atom. The uncorrected formation energy is -533 meV per atom. As for the magnetization: 1.0 μB per cell.



[11]
An optimized crystal structure of LaCu6, computed with PBE.

The space group is Pm-3m (No. 221) and the conventional cell measures 5.498, 5.498 and 5.498 Å, with angles of 90.00, 90.00 and 90.00 degrees. Symmetry generates all atoms from La at (0.000, 0.000, 0.000) and Cu at (0.197, 0.500, 0.500).

The formation energy comes out at 0.6640 eV/atom. Its excess energy over the best structure of this formula in the dataset is 798 meV per atom. As for the magnetization: 0.0 μB per cell.



[12]
An optimized crystal structure of NbCr3Ru, computed with PBE.

The space group is Pm-3m (No. 221) and the conventional cell measures 4.390, 4.390 and 4.390 Å, with angles of 90.00, 90.00 and 90.00 degrees. Symmetry generates all atoms from Nb at (0.000, 0.000, 0.000), Cr at (0.000, 0.500, 0.500) and Ru at (0.500, 0.500, 0.500).

The formation energy comes out at 1.4010 eV/atom. Its excess energy over the best structure of this formula in the dataset is 0 meV per atom. As for the magnetization: 0.1 μB per cell.



[13]
An optimized crystal structure of NdSm2Os, computed with PBE.

The space group is Cmcm (No. 63) and the conventional cell measures 4.043, 12.305 and 9.295 Å, with angles of 90.00, 90.00 and 90.00 degrees. Symmetry generates all atoms from Nd at (0.000, 0.077, 0.250), Sm at (0.000, 0.355, 0.069) and Os at (0.000, 0.256, 0.750).

The formation energy comes out at -0.1200 eV/atom. Its excess energy over the best structure of this formula in the dataset is 17 meV per atom. As for the magnetization: 0.0 μB per cell.